[1]
Here is crystalline PuAgPdAu at its relaxed geometry from Alexandria. Energies are from PBE.

Calculated values
Total energy   -6.596 eV/atom
Energy relative to the elements   -70 kJ/mol of formula units
Size of the total moment   5.291 Bohr magnetons per cell
V   20.24 Å³ per atom
Theoretical density   13.441 g/cm³
D(E_F)   14.917 states/eV/f.u.

Cell lengths 4.8556, 4.8556, 4.8556 Å; angles 60.00, 60.00, 60.00 degrees
With the nearest neighbours (Å) after each atom.
Element x y z (fractional)
Au1 0.5000 0.5000 0.5000  4 Ag 2.97, 4 Pd 2.97
Pd1 0.2500 0.2500 0.2500  4 Pu 2.97, 4 Au 2.97
Ag1 0.7500 0.7500 0.7500  4 Au 2.97, 4 Pu 2.97
Pu1 0.0000 0.0000 0.0000  4 Ag 2.97, 4 Pd 2.97

=====

[2]
Here is crystalline Pu4AgPdAu2 at its relaxed geometry from Alexandria. Energies are from PBE.

Calculated values
Total energy   -9.251 eV/atom
Energy relative to the elements   -201 kJ/mol of formula units
Size of the total moment   23.305 Bohr magnetons per cell
V   23.72 Å³ per atom
Theoretical density   13.866 g/cm³
D(E_F)   36.460 states/eV/f.u.

Cell lengths 5.1446, 5.1446, 8.7942 Å; angles 72.99, 72.99, 60.00 degrees
With the nearest neighbours (Å) after each atom.
Element x y z (fractional)
Pu1 0.3820 0.3820 0.8541  1 Pd 2.93, 4 Au 3.05-3.11, 3 Ag 3.21
Pu2 0.8686 0.8686 0.3942  3 Pd 3.10, 4 Au 3.11-3.27, 1 Ag 3.26, 3 Pu 3.45
Pu3 0.1314 0.1314 0.6058  3 Pd 3.10, 4 Au 3.11-3.27, 1 Ag 3.26, 3 Pu 3.45
Pu4 0.6180 0.6180 0.1459  1 Pd 2.93, 4 Au 3.05-3.11, 3 Ag 3.21
Ag1 0.0000 0.0000 0.0000  8 Pu 3.21-3.26, 6 Au 3.53
Pd1 0.5000 0.5000 0.5000  8 Pu 2.93-3.10
Au1 0.7435 0.7435 0.7696  8 Pu 3.05-3.27
Au2 0.2565 0.2565 0.2304  8 Pu 3.05-3.27

=====

[3]
Here is crystalline RbAg2PdAu at its relaxed geometry from Alexandria. Energies are from PBE.

Calculated values
Total energy   -1.517 eV/atom
Energy relative to the elements   729 kJ/mol of formula units
Size of the total moment   0.000 Bohr magnetons per cell
V   37.36 Å³ per atom
Theoretical density   5.375 g/cm³
D(E_F)   2.145 states/eV/f.u.

Cell lengths 5.7086, 5.7316, 5.7086 Å; angles 90.00, 90.00, 90.00 degrees
With the nearest neighbours (Å) after each atom.
Element x y z (fractional)
Rb1 0.0000 0.0000 0.0000  4 Ag 2.85, 2 Au 2.87
Au1 0.0000 0.5000 0.0000  2 Rb 2.87
Pd1 0.5000 0.5000 0.5000  4 Au 4.04, 8 Ag 4.04
Ag1 0.0000 0.0000 0.5000  2 Rb 2.85
Ag2 0.5000 0.0000 0.0000  2 Rb 2.85

=====

[4]
Here is crystalline AgSbPdAu at its relaxed geometry from Alexandria. Energies are from PBE.

Calculated values
Total energy   -3.994 eV/atom
Size of the total moment   0.000 Bohr magnetons per cell
V   18.82 Å³ per atom
Theoretical density   11.757 g/cm³
ΔE_f (raw)   -0.1326 eV/atom
D(E_F)   1.184 states/eV/f.u.

Cell lengths 4.7395, 4.7395, 4.7395 Å; angles 60.00, 60.00, 60.00 degrees
With the nearest neighbours (Å) after each atom.
Element x y z (fractional)
Sb1 0.7500 0.7500 0.7500  4 Pd 2.90, 4 Au 2.90
Au1 0.5000 0.5000 0.5000  4 Sb 2.90, 4 Ag 2.90
Pd1 0.0000 0.0000 0.0000  4 Sb 2.90, 4 Ag 2.90
Ag1 0.2500 0.2500 0.2500  4 Pd 2.90, 4 Au 2.90

=====

[5]
Here is crystalline ScAgPd2Au2 at its relaxed geometry from Alexandria. Energies are from PBE.

Calculated values
Total energy   -4.507 eV/atom
Energy relative to the elements   -89 kJ/mol of formula units
Size of the total moment   0.000 Bohr magnetons per cell
V   19.84 Å³ per atom
Theoretical density   10.596 g/cm³
D(E_F)   3.203 states/eV/f.u.

Cell lengths 4.5407, 4.5407, 7.1640 Å; angles 71.52, 71.52, 60.00 degrees
With the nearest neighbours (Å) after each atom.
Element x y z (fractional)
Sc1 0.0000 0.0000 0.0000  6 Au 2.72
Ag1 0.5000 0.5000 0.5000  2 Au 2.62, 6 Pd 2.90
Pd1 0.7710 0.7710 0.6871  4 Au 2.80-2.96, 3 Ag 2.90
Pd2 0.2290 0.2290 0.3129  4 Au 2.80-2.96, 3 Ag 2.90
Au1 0.6311 0.6311 0.1066  1 Ag 2.62, 3 Sc 2.72, 1 Pd 2.80
Au2 0.3689 0.3689 0.8934  1 Ag 2.62, 3 Sc 2.72, 1 Pd 2.80

=====

[6]
Here is crystalline ScAgPdAu at its relaxed geometry from Alexandria. Energies are from PBE.

Calculated values
Total energy   -5.004 eV/atom
Energy relative to the elements   -228 kJ/mol of formula units
Size of the total moment   0.001 Bohr magnetons per cell
V   17.45 Å³ per atom
Theoretical density   10.855 g/cm³
D(E_F)   1.430 states/eV/f.u.

Cell lengths 4.0955, 4.0954, 5.0696 Å; angles 113.83, 113.82, 90.00 degrees
With the nearest neighbours (Å) after each atom.
Element x y z (fractional)
Sc1 0.5000 0.5000 0.0000  4 Ag 2.90, 4 Pd 2.92, 4 Au 2.92
Ag1 0.0000 0.0000 0.0000  4 Sc 2.90, 4 Au 2.92, 4 Pd 2.92
Pd1 0.2500 0.7500 0.5000  4 Au 2.90, 4 Ag 2.92, 4 Sc 2.92
Au1 0.7500 0.2501 0.5000  4 Pd 2.90, 4 Ag 2.92, 4 Sc 2.92